DFT (PBE with a Hubbard U) results for a relaxed HoWO5 crystal.

Values from the calculation:
- V (Å³ per cell) = 209.5
- N(E_F) (states/eV/cell) = 4.12
- total magnetization (μB per formula unit) = 1.03
- relative energy among the computed polymorphs (meV/atom) = 38

Cell lengths 3.853, 6.621, 8.215 Å; angles 90.00, 90.00, 90.00 degrees
Space group Immm (No. 71)
Asymmetric unit:
1 Ho 0.000 0.000 0.000 x2
2 W 0.000 0.000 0.500 x2
3 O 0.000 0.000 0.268 x4
4 O 0.000 0.295 0.500 x4
5 O 0.000 0.500 0.000 x2